[1]
# TmGaNi2

An optimized crystal structure of TmGaNi2 (PBE-GGA, the Alexandria database).

```
TmGaNi2
1.0
0.000 3.117 3.117
3.117 0.000 3.117
3.117 3.117 0.000
Tm Ga Ni
1 1 2
Cartesian
0.000 0.000 0.000
3.117 3.117 3.117
1.558 1.558 1.558
4.675 4.675 4.675
```

Energy of formation from the pure elements ... -10.95 kcal/mol of atoms
Space group ... Fm-3m (225)


[2]
# LaErAlAg

An optimized crystal structure of LaErAlAg (PBE-GGA, the Alexandria database).

```
LaErAlAg
1.0
3.620 0.000 0.000
0.000 3.620 0.000
0.000 0.000 7.739
La Er Al Ag
1 1 1 1
Cartesian
0.000 0.000 0.000
0.000 0.000 3.819
1.810 1.810 2.041
1.810 1.810 5.441
```

Energy of formation from the pure elements ... -8.07 kcal/mol of atoms
Space group ... P4mm (99)
Distance to the lowest polymorph of the same formula ... 0.00 eV/f.u.


[3]
# NdCd2SbO6

An optimized crystal structure of NdCd2SbO6 (PBE-GGA, the Alexandria database).

```
NdCd2SbO6
1.0
2.865 1.654 5.035
-2.865 1.654 5.035
0.000 -3.308 5.035
Nd Cd Sb O
1 2 1 6
Cartesian
0.000 0.000 0.000
0.000 0.000 3.318
0.000 0.000 10.999
0.000 0.000 7.686
-0.687 -1.578 6.627
-1.581 -0.074 8.968
-1.023 1.384 6.627
0.855 -1.332 8.968
1.710 0.194 6.627
0.726 1.407 8.968
```

Space group ... R3 (146)
Formation energy without anion corrections ... -1.80 eV per atom


[4]
# CoHIr3

An optimized crystal structure of CoHIr3 (PBE-GGA, the Alexandria database).

```
CoHIr3
1.0
4.470 0.000 0.000
0.000 4.470 0.000
0.000 0.000 4.470
Co H Ir
1 1 3
Cartesian
0.000 0.000 0.000
2.235 2.235 2.235
0.000 0.000 2.235
0.000 2.235 0.000
2.235 0.000 0.000
```

Space group ... Pm-3m (221)
Distance to the lowest polymorph of the same formula ... 9.56 eV/f.u.


[5]
# NdEr2Tl9

An optimized crystal structure of NdEr2Tl9 (PBE-GGA, the Alexandria database).

```
NdEr2Tl9
1.0
4.781 0.000 0.000
0.000 4.781 0.000
0.000 0.000 14.342
Nd Er Tl
1 2 9
Cartesian
0.000 0.000 0.000
0.000 0.000 4.801
0.000 0.000 9.542
0.000 2.391 2.449
0.000 2.391 7.171
0.000 2.391 11.894
2.391 0.000 2.449
2.391 0.000 7.171
2.391 0.000 11.894
2.391 2.391 0.000
2.391 2.391 4.801
2.391 2.391 9.541
```

Energy of formation from the pure elements ... -5.52 kcal/mol of atoms
Space group ... P4/mmm (123)


[6]
# Cu2Te

An optimized crystal structure of Cu2Te (PBE-GGA, the Alexandria database).

```
Cu2Te
1.0
1.914 -7.946 0.000
1.914 7.946 0.000
0.000 0.000 3.748
Cu Te
4 2
Cartesian
0.000 0.000 0.000
1.914 6.273 1.874
1.914 0.000 1.874
1.914 -6.273 1.874
1.914 2.256 0.000
1.914 -2.256 0.000
```

Space group ... Cmmm (65)
Formation energy without anion corrections ... 0.07 eV per atom


[7]
# ZnPb2Au4

An optimized crystal structure of ZnPb2Au4 (PBE-GGA, the Alexandria database).

```
ZnPb2Au4
1.0
5.241 0.000 0.000
2.167 4.800 0.000
1.011 2.242 6.833
Zn Pb Au
1 2 4
Cartesian
0.000 0.000 0.000
4.632 4.633 4.869
3.788 2.409 1.964
1.084 2.400 0.000
3.368 5.468 2.331
2.620 0.000 0.000
5.052 1.575 4.502
```

Energy of formation from the pure elements ... -0.99 kcal/mol of atoms
Space group ... P-1 (2)


[8]
# SnS4

An optimized crystal structure of SnS4 (PBE-GGA, the Alexandria database).

```
SnS4
1.0
5.063 0.000 0.000
0.000 5.063 0.000
0.000 0.000 5.063
Sn S
1 4
Cartesian
0.000 0.000 0.000
0.000 0.000 2.531
0.000 2.531 0.000
2.531 0.000 0.000
2.531 2.531 2.531
```

Space group ... Pm-3m (221)
Distance to the lowest polymorph of the same formula ... 5.01 eV/f.u.
Formation energy without anion corrections ... 0.92 eV per atom


[9]
# Ho6Zn5Ag

An optimized crystal structure of Ho6Zn5Ag (PBE-GGA, the Alexandria database).

```
Ho6Zn5Ag
1.0
2.514 -7.540 0.000
2.514 7.540 0.000
0.000 0.000 7.164
Ho Zn Ag
6 5 1
Cartesian
0.000 0.000 1.756
0.000 0.000 5.408
2.514 2.535 1.770
2.514 2.535 5.394
2.514 -2.535 1.770
2.514 -2.535 5.394
2.514 5.023 0.000
2.514 4.992 3.582
2.514 0.000 0.000
2.514 -4.992 3.582
2.514 -5.023 0.000
2.514 0.000 3.582
```

Energy of formation from the pure elements ... -7.83 kcal/mol of atoms
Space group ... Cmmm (65)


[10]
# Hf3TiN4

An optimized crystal structure of Hf3TiN4 (PBE-GGA, the Alexandria database).

```
Hf3TiN4
1.0
1.587 0.916 10.274
-1.587 0.916 10.274
0.000 -1.833 10.274
Hf Ti N
3 1 4
Cartesian
0.000 0.000 0.000
0.000 0.000 7.616
0.000 0.000 23.206
0.000 0.000 15.411
0.000 0.000 3.922
0.000 0.000 11.603
0.000 0.000 19.219
0.000 0.000 26.900
```

Space group ... R-3m (166)
Distance to the lowest polymorph of the same formula ... 0.00 eV/f.u.
Formation energy without anion corrections ... -1.73 eV per atom


[11]
# LiCaEuY

An optimized crystal structure of LiCaEuY (PBE-GGA, the Alexandria database).

```
LiCaEuY
1.0
0.000 4.078 4.078
4.078 0.000 4.078
4.078 4.078 0.000
Li Ca Eu Y
1 1 1 1
Cartesian
0.000 0.000 0.000
6.117 6.117 6.117
4.078 4.078 4.078
2.039 2.039 2.039
```

Energy of formation from the pure elements ... 4.85 kcal/mol of atoms
Space group ... F-43m (216)


[12]
# Li2Al6Pd

An optimized crystal structure of Li2Al6Pd (PBE-GGA, the Alexandria database).

```
Li2Al6Pd
1.0
4.839 0.000 0.000
0.000 4.839 0.000
0.000 0.000 17.166
Li Al Pd
4 12 2
Cartesian
0.000 0.000 4.152
0.000 0.000 13.014
2.420 2.420 4.431
2.420 2.420 12.735
0.825 0.825 0.000
1.116 1.116 6.615
1.116 1.116 10.550
1.304 3.536 1.968
1.304 3.536 15.198
1.595 3.244 8.583
3.244 1.595 8.583
3.536 1.304 1.968
3.536 1.304 15.198
3.724 3.724 6.615
3.724 3.724 10.550
4.015 4.015 0.000
0.000 0.000 8.583
2.420 2.420 0.000
```

Energy of formation from the pure elements ... 4.51 kcal/mol of atoms
Space group ... P4_2/mnm (136)
Distance to the lowest polymorph of the same formula ... 4.15 eV/f.u.